Version one
DFT (GGA-PBE) results for In3SnHg after structural relaxation.

Cell: 5.7747 5.7747 5.7747 Å, 90.00 90.00 90.00°
Space group Pm-3m (No. 221)
Asymmetric unit:
In: 0.0000 0.0000 0.5000
Sn: 0.0000 0.0000 0.0000
Hg: 0.5000 0.5000 0.5000

Output
Fermi-level density of states ... 0.85 states/eV per atom



Version two
DFT (GGA-PBE) results for In3SnHg after structural relaxation.

Cell: 4.8999 4.8999 13.8959 Å, 90.00 90.00 120.00°
Space group P6_3mc (No. 186)
Asymmetric unit:
In: 0.0000 0.0000 0.0000
In: 0.3333 0.6667 0.1268
In: 0.3333 0.6667 0.8130
Sn: 0.3333 0.6667 0.4229
Hg: 0.0000 0.0000 0.2291

Output
Fermi-level density of states ... 0.47 states/eV per atom



Which of the structures shown above is the most stable? The most stable is version two.